Crystalline LiTb3Sm3Te8 at its relaxed geometry, computed with PBE-GGA.

Lattice parameters (Å, degrees): 8.7870 8.7870 8.7870 59.89 59.89 59.89
Positions (direct):
Li1 0.0000 0.0000 0.0000
Tb1 0.0000 0.5000 0.5000
Tb2 0.5000 0.0000 0.5000
Tb3 0.5000 0.5000 0.0000
Sm1 0.0000 0.0000 0.5000
Sm2 0.0000 0.5000 0.0000
Sm3 0.5000 0.0000 0.0000
Te1 0.2484 0.2484 0.7480
Te2 0.2484 0.7480 0.2484
Te3 0.2517 0.2517 0.2517
Te4 0.2520 0.7516 0.7516
Te5 0.7480 0.2484 0.2484
Te6 0.7483 0.7483 0.7483
Te7 0.7516 0.2520 0.7516
Te8 0.7516 0.7516 0.2520

=====

Crystalline TmMg5Cd3 at its relaxed geometry, computed with PBE-GGA.

Output
**ΔH_f (0 K)**: -1.059 eV per formula unit

Lattice parameters (Å, degrees): 8.7388 8.7388 6.2394 90.00 90.00 120.00
Positions (direct):
Tm1 0.0000 0.0000 0.0000
Tm2 0.0000 0.0000 0.5000
Mg1 0.0000 0.3430 0.2500
Mg2 0.0000 0.6570 0.7500
Mg3 0.3333 0.6667 0.0000
Mg4 0.3333 0.6667 0.5000
Mg5 0.3430 0.0000 0.2500
Mg6 0.3430 0.3430 0.7500
Mg7 0.6570 0.0000 0.7500
Mg8 0.6570 0.6570 0.2500
Mg9 0.6667 0.3333 0.0000
Mg10 0.6667 0.3333 0.5000
Cd1 0.0000 0.3266 0.7500
Cd2 0.0000 0.6734 0.2500
Cd3 0.3266 0.0000 0.7500
Cd4 0.3266 0.3266 0.2500
Cd5 0.6734 0.0000 0.2500
Cd6 0.6734 0.6734 0.7500

=====

Crystalline SrEuMg2 at its relaxed geometry, computed with PBE-GGA.

Output
**E above lowest polymorph**: 0 meV/atom
**ΔH_f (0 K)**: -0.280 eV per formula unit

Lattice parameters (Å, degrees): 4.1013 4.1013 8.1921 90.00 90.00 90.00
Positions (direct):
Sr1 0.0000 0.0000 0.0000
Eu1 0.0000 0.0000 0.5000
Mg1 0.5000 0.5000 0.2656
Mg2 0.5000 0.5000 0.7344

=====

| no. | total DFT energy (no corrections) (eV per cell) |
| --- | --- |
| 1 | -75.53 |
| 2 | -32.50 |
| 3 | -15.43 |